The following is a PBE-GGA calculation of a relaxed Li2Ca2SmIn2 crystal, from Alexandria via LeMat-Bulk.

Summary:
As for the space group: No. 166. The calculation puts the density of states at the Fermi level at 4.45 states/eV/cell. As for the formation energy: -0.269 eV/atom.

Lattice parameters (Å, degrees): 5.014 5.014 9.462 74.64 74.64 60.00
Fractional positions:
Ca 0.874 0.874 0.379
Ca 0.126 0.126 0.621
Li 0.609 0.609 0.173
Li 0.391 0.391 0.827
In 0.268 0.268 0.196
In 0.732 0.732 0.804
Sm 0.000 0.000 0.000